NbHgPd3, relaxed, DFT PBE; energy of formation from the pure elements = 134.0 kJ per mole of atoms; magnetic moment = 0.049 μB per atom; crystal system = cubic; Fermi-level density of states = 2.398 states/eV/atom; excess energy over the best structure of this formula in the dataset = 536 meV per atom
1.0
4.917 0.000 0.000
0.000 4.917 0.000
0.000 0.000 4.917
Nb Hg Pd
1 1 3
direct
0.000 0.000 0.000 Nb
0.500 0.500 0.500 Hg
0.000 0.500 0.500 Pd
0.500 0.000 0.500 Pd
0.500 0.500 0.000 Pd